<1>
Entry from Alexandria via LeMat-Bulk: an optimized crystal structure of Ag2Ge2Sb (GGA-PBE).

Cell lengths 8.2383, 8.2383, 3.0687 Å; angles 90.00, 90.00, 90.00 degrees
Element x y z (fractional)
1 Ag 0.1212 0.3788 0.0000
2 Ag 0.3788 0.8788 0.0000
3 Ag 0.6212 0.1212 0.0000
4 Ag 0.8788 0.6212 0.0000
5 Ge 0.1771 0.6771 0.5000
6 Ge 0.3229 0.1771 0.5000
7 Ge 0.6771 0.8229 0.5000
8 Ge 0.8229 0.3229 0.5000
9 Sb 0.0000 0.0000 0.5000
10 Sb 0.5000 0.5000 0.5000

Summary:
As for the space group: P4/mbm. As for the volume: 20.8 Å³/atom.

<2>
Entry from Alexandria via LeMat-Bulk: an optimized crystal structure of Ag2Ge2Sb (GGA-PBE).

Cell lengths 7.9824, 7.9824, 3.2319 Å; angles 90.00, 90.00, 90.00 degrees
Element x y z (fractional)
1 Ag 0.1311 0.3689 0.0000
2 Ag 0.3689 0.8689 0.0000
3 Ag 0.6311 0.1311 0.0000
4 Ag 0.8689 0.6311 0.0000
5 Ge 0.1649 0.6649 0.5000
6 Ge 0.3351 0.1649 0.5000
7 Ge 0.6649 0.8351 0.5000
8 Ge 0.8351 0.3351 0.5000
9 Sb 0.0000 0.0000 0.0000
10 Sb 0.5000 0.5000 0.0000

Summary:
As for the space group: P4/mbm. As for the volume: 20.6 Å³/atom.

<3>
Entry from Alexandria via LeMat-Bulk: an optimized crystal structure of Ag2Ge2Sb (GGA-PBE).

Cell lengths 4.2730, 4.2730, 11.6796 Å; angles 90.00, 90.00, 90.00 degrees
Element x y z (fractional)
1 Ag 0.0000 0.5000 0.2500
2 Ag 0.0000 0.5000 0.7500
3 Ag 0.5000 0.0000 0.2500
4 Ag 0.5000 0.0000 0.7500
5 Ge 0.0000 0.0000 0.1055
6 Ge 0.0000 0.0000 0.8945
7 Ge 0.5000 0.5000 0.3945
8 Ge 0.5000 0.5000 0.6055
9 Sb 0.0000 0.0000 0.5000
10 Sb 0.5000 0.5000 0.0000

Summary:
As for the space group: I4/mmm. As for the volume: 21.3 Å³/atom.

<4>
Entry from Alexandria via LeMat-Bulk: an optimized crystal structure of Ag2Ge2Sb (GGA-PBE).

Cell lengths 3.9948, 3.9948, 13.2682 Å; angles 90.00, 90.00, 90.00 degrees
Element x y z (fractional)
1 Ag 0.0000 0.0000 0.1033
2 Ag 0.0000 0.0000 0.8967
3 Ag 0.5000 0.5000 0.3967
4 Ag 0.5000 0.5000 0.6033
5 Ge 0.0000 0.5000 0.2500
6 Ge 0.0000 0.5000 0.7500
7 Ge 0.5000 0.0000 0.2500
8 Ge 0.5000 0.0000 0.7500
9 Sb 0.0000 0.0000 0.5000
10 Sb 0.5000 0.5000 0.0000

Summary:
As for the space group: I4/mmm. As for the volume: 21.2 Å³/atom.

Which of them is the least stable? Correct choice: <3>.

<1>
Entry from Alexandria via LeMat-Bulk: an optimized crystal structure of Ag3GeSb (GGA-PBE).

Cell lengths 5.2117, 5.2117, 5.2117 Å; angles 90.00, 90.00, 90.00 degrees
Element x y z (fractional)
1 Ag 0.0000 0.0000 0.5000
2 Ag 0.0000 0.5000 0.0000
3 Ag 0.5000 0.0000 0.0000
4 Ge 0.5000 0.5000 0.5000
5 Sb 0.0000 0.0000 0.0000

Summary:
As for the space group: Pm-3m. As for the volume: 28.3 Å³/atom.

<2>
Entry from Alexandria via LeMat-Bulk: an optimized crystal structure of Ag3GeSb (GGA-PBE).

Cell lengths 4.9357, 4.9357, 4.9357 Å; angles 90.00, 90.00, 90.00 degrees
Element x y z (fractional)
1 Ag 0.0000 0.0000 0.5000
2 Ag 0.0000 0.5000 0.0000
3 Ag 0.5000 0.0000 0.0000
4 Ge 0.0000 0.0000 0.0000
5 Sb 0.5000 0.5000 0.5000

Summary:
As for the space group: Pm-3m. As for the volume: 24.0 Å³/atom.

Which of them is the least stable? Correct choice: <1>.

<1>
Entry from Alexandria via LeMat-Bulk: an optimized crystal structure of AgGeSb2Te (GGA-PBE).

Cell lengths 5.3009, 5.3009, 5.5239 Å; angles 90.00, 90.00, 90.00 degrees
Element x y z (fractional)
1 Ag 0.0000 0.0000 0.0000
2 Ge 0.5000 0.5000 0.5000
3 Sb 0.0000 0.5000 0.0000
4 Sb 0.5000 0.0000 0.0000
5 Te 0.0000 0.0000 0.5000

Summary:
As for the space group: P4/mmm. As for the volume: 31.0 Å³/atom.

<2>
Entry from Alexandria via LeMat-Bulk: an optimized crystal structure of AgGeSb2Te (GGA-PBE).

Cell lengths 5.3716, 5.3716, 5.3808 Å; angles 90.00, 90.00, 90.00 degrees
Element x y z (fractional)
1 Ag 0.0000 0.0000 0.0000
2 Ge 0.5000 0.5000 0.5000
3 Sb 0.0000 0.5000 0.5000
4 Sb 0.5000 0.0000 0.5000
5 Te 0.5000 0.5000 0.0000

Summary:
As for the space group: P4/mmm. As for the volume: 31.1 Å³/atom.

Which of them is the least stable? Correct choice: <1>.

<1>
Entry from Alexandria via LeMat-Bulk: an optimized crystal structure of Ag2GeSe (GGA-PBE).

Cell lengths 7.5474, 7.5474, 5.7555 Å; angles 90.00, 90.00, 90.00 degrees
Element x y z (fractional)
1 Ag 0.2482 0.7500 0.1250
2 Ag 0.2500 0.2482 0.8750
3 Ag 0.2500 0.2518 0.3750
4 Ag 0.2518 0.7500 0.6250
5 Ag 0.7482 0.2500 0.6250
6 Ag 0.7500 0.7482 0.3750
7 Ag 0.7500 0.7518 0.8750
8 Ag 0.7518 0.2500 0.1250
9 Ge 0.0000 0.0000 0.5000
10 Ge 0.0000 0.5000 0.7500
11 Ge 0.5000 0.0000 0.2500
12 Ge 0.5000 0.5000 0.0000
13 Se 0.0000 0.0000 0.0000
14 Se 0.0000 0.5000 0.2500
15 Se 0.5000 0.0000 0.7500
16 Se 0.5000 0.5000 0.5000

Summary:
As for the space group: I-42d. As for the volume: 20.5 Å³/atom.

<2>
Entry from Alexandria via LeMat-Bulk: an optimized crystal structure of Ag2GeSe (GGA-PBE).

Cell lengths 6.8029, 6.8029, 6.8029 Å; angles 90.00, 90.00, 90.00 degrees
Element x y z (fractional)
1 Ag 0.2500 0.2500 0.2500
2 Ag 0.2500 0.2500 0.7500
3 Ag 0.2500 0.7500 0.2500
4 Ag 0.2500 0.7500 0.7500
5 Ag 0.7500 0.2500 0.2500
6 Ag 0.7500 0.2500 0.7500
7 Ag 0.7500 0.7500 0.2500
8 Ag 0.7500 0.7500 0.7500
9 Ge 0.0000 0.0000 0.0000
10 Ge 0.0000 0.5000 0.5000
11 Ge 0.5000 0.0000 0.5000
12 Ge 0.5000 0.5000 0.0000
13 Se 0.0000 0.0000 0.5000
14 Se 0.0000 0.5000 0.0000
15 Se 0.5000 0.0000 0.0000
16 Se 0.5000 0.5000 0.5000

Summary:
As for the space group: Fm-3m. As for the volume: 19.7 Å³/atom.

Which of them is the least stable? Correct choice: <2>.

<1>
Entry from Alexandria via LeMat-Bulk: an optimized crystal structure of Ag3GeSe3 (GGA-PBE).

Cell lengths 4.7037, 8.4154, 9.8654 Å; angles 73.80, 77.07, 89.68 degrees
Element x y z (fractional)
1 Ag 0.0752 0.0139 0.3371
2 Ag 0.1925 0.6012 0.0528
3 Ag 0.4166 0.1982 0.6719
4 Ag 0.5834 0.8018 0.3281
5 Ag 0.8075 0.3988 0.9472
6 Ag 0.9248 0.9861 0.6629
7 Ge 0.4381 0.6898 0.6434
8 Ge 0.5619 0.3102 0.3566
9 Se 0.0082 0.2898 0.4723
10 Se 0.3571 0.8689 0.8056
11 Se 0.3633 0.4144 0.8223
12 Se 0.6367 0.5856 0.1777
13 Se 0.6429 0.1311 0.1944
14 Se 0.9918 0.7102 0.5277

Summary:
As for the space group: P-1. As for the volume: 26.1 Å³/atom.

<2>
Entry from Alexandria via LeMat-Bulk: an optimized crystal structure of Ag3GeSe3 (GGA-PBE).

Cell lengths 7.9527, 5.5418, 7.9642 Å; angles 90.00, 111.66, 90.00 degrees
Element x y z (fractional)
1 Ag 0.0761 0.2500 0.2747
2 Ag 0.2641 0.7500 0.0721
3 Ag 0.2801 0.7500 0.7228
4 Ag 0.7199 0.2500 0.2772
5 Ag 0.7359 0.2500 0.9279
6 Ag 0.9239 0.7500 0.7253
7 Ge 0.2069 0.2500 0.7942
8 Ge 0.7931 0.7500 0.2058
9 Se 0.1090 0.7500 0.3352
10 Se 0.3344 0.2500 0.1097
11 Se 0.3831 0.2500 0.6171
12 Se 0.6169 0.7500 0.3829
13 Se 0.6656 0.7500 0.8903
14 Se 0.8910 0.2500 0.6648

Summary:
As for the space group: P2_1/m. As for the volume: 23.3 Å³/atom.

Which of them is the least stable? Correct choice: <2>.

<1>
Entry from Alexandria via LeMat-Bulk: an optimized crystal structure of SiAgGe3 (GGA-PBE).

Cell lengths 4.7865, 4.7865, 4.7865 Å; angles 90.00, 90.00, 90.00 degrees
Element x y z (fractional)
1 Si 0.0000 0.0000 0.0000
2 Ag 0.5000 0.5000 0.5000
3 Ge 0.0000 0.0000 0.5000
4 Ge 0.0000 0.5000 0.0000
5 Ge 0.5000 0.0000 0.0000

Summary:
As for the space group: Pm-3m. As for the volume: 21.9 Å³/atom.

<2>
Entry from Alexandria via LeMat-Bulk: an optimized crystal structure of SiAgGe3 (GGA-PBE).

Cell lengths 4.9664, 4.9664, 4.9664 Å; angles 90.00, 90.00, 90.00 degrees
Element x y z (fractional)
1 Si 0.0000 0.0000 0.0000
2 Ag 0.5000 0.5000 0.5000
3 Ge 0.0000 0.5000 0.5000
4 Ge 0.5000 0.0000 0.5000
5 Ge 0.5000 0.5000 0.0000

Summary:
As for the space group: Pm-3m. As for the volume: 24.5 Å³/atom.

Which of them is the least stable? Correct choice: <2>.

<1>
Entry from Alexandria via LeMat-Bulk: an optimized crystal structure of Si2AgGe2 (GGA-PBE).

Cell lengths 6.7595, 6.7595, 4.0765 Å; angles 90.00, 90.00, 90.00 degrees
Element x y z (fractional)
1 Si 0.1255 0.3745 0.0000
2 Si 0.3745 0.8745 0.0000
3 Si 0.6255 0.1255 0.0000
4 Si 0.8745 0.6255 0.0000
5 Ag 0.0000 0.0000 0.0000
6 Ag 0.5000 0.5000 0.0000
7 Ge 0.2140 0.7140 0.5000
8 Ge 0.2860 0.2140 0.5000
9 Ge 0.7140 0.7860 0.5000
10 Ge 0.7860 0.2860 0.5000

Summary:
As for the space group: P4/mbm. As for the volume: 18.6 Å³/atom.

<2>
Entry from Alexandria via LeMat-Bulk: an optimized crystal structure of Si2AgGe2 (GGA-PBE).

Cell lengths 3.4668, 3.4668, 15.2761 Å; angles 90.00, 90.00, 90.00 degrees
Element x y z (fractional)
1 Si 0.0000 0.5000 0.2500
2 Si 0.0000 0.5000 0.7500
3 Si 0.5000 0.0000 0.2500
4 Si 0.5000 0.0000 0.7500
5 Ag 0.0000 0.0000 0.0000
6 Ag 0.5000 0.5000 0.5000
7 Ge 0.0000 0.0000 0.3939
8 Ge 0.0000 0.0000 0.6061
9 Ge 0.5000 0.5000 0.1061
10 Ge 0.5000 0.5000 0.8939

Summary:
As for the space group: I4/mmm. As for the volume: 18.4 Å³/atom.

Which of them is the least stable? Correct choice: <1>.

<1>
Entry from Alexandria via LeMat-Bulk: an optimized crystal structure of SiAgGe2 (GGA-PBE).

Cell lengths 6.6296, 6.6296, 6.6296 Å; angles 90.00, 90.00, 90.00 degrees
Element x y z (fractional)
1 Si 0.0000 0.0000 0.0000
2 Si 0.0000 0.5000 0.5000
3 Si 0.5000 0.0000 0.5000
4 Si 0.5000 0.5000 0.0000
5 Ag 0.0000 0.0000 0.5000
6 Ag 0.0000 0.5000 0.0000
7 Ag 0.5000 0.0000 0.0000
8 Ag 0.5000 0.5000 0.5000
9 Ge 0.2500 0.2500 0.2500
10 Ge 0.2500 0.2500 0.7500
11 Ge 0.2500 0.7500 0.2500
12 Ge 0.2500 0.7500 0.7500
13 Ge 0.7500 0.2500 0.2500
14 Ge 0.7500 0.2500 0.7500
15 Ge 0.7500 0.7500 0.2500
16 Ge 0.7500 0.7500 0.7500

Summary:
As for the space group: Fm-3m. As for the volume: 18.2 Å³/atom.

<2>
Entry from Alexandria via LeMat-Bulk: an optimized crystal structure of SiAgGe2 (GGA-PBE).

Cell lengths 5.9928, 5.9928, 10.5686 Å; angles 90.00, 90.00, 90.00 degrees
Element x y z (fractional)
1 Si 0.0000 0.0000 0.0000
2 Si 0.0000 0.5000 0.2500
3 Si 0.5000 0.0000 0.7500
4 Si 0.5000 0.5000 0.5000
5 Ag 0.0000 0.0000 0.5000
6 Ag 0.0000 0.5000 0.7500
7 Ag 0.5000 0.0000 0.2500
8 Ag 0.5000 0.5000 0.0000
9 Ge 0.2269 0.2500 0.1250
10 Ge 0.2500 0.7269 0.3750
11 Ge 0.2500 0.7731 0.8750
12 Ge 0.2731 0.2500 0.6250
13 Ge 0.7269 0.7500 0.6250
14 Ge 0.7500 0.2269 0.8750
15 Ge 0.7500 0.2731 0.3750
16 Ge 0.7731 0.7500 0.1250

Summary:
As for the space group: I-42d. As for the volume: 23.7 Å³/atom.

Which of them is the least stable? Correct choice: <1>.

<1>
Entry from Alexandria via LeMat-Bulk: an optimized crystal structure of SiAg2Ge (GGA-PBE).

Cell lengths 7.4841, 7.4841, 5.4811 Å; angles 90.00, 90.00, 90.00 degrees
Element x y z (fractional)
1 Si 0.0000 0.0000 0.0000
2 Si 0.0000 0.5000 0.2500
3 Si 0.5000 0.0000 0.7500
4 Si 0.5000 0.5000 0.5000
5 Ag 0.2261 0.2500 0.1250
6 Ag 0.2500 0.7261 0.3750
7 Ag 0.2500 0.7739 0.8750
8 Ag 0.2739 0.2500 0.6250
9 Ag 0.7261 0.7500 0.6250
10 Ag 0.7500 0.2261 0.8750
11 Ag 0.7500 0.2739 0.3750
12 Ag 0.7739 0.7500 0.1250
13 Ge 0.0000 0.0000 0.5000
14 Ge 0.0000 0.5000 0.7500
15 Ge 0.5000 0.0000 0.2500
16 Ge 0.5000 0.5000 0.0000

Summary:
As for the space group: I-42d. As for the volume: 19.2 Å³/atom.

<2>
Entry from Alexandria via LeMat-Bulk: an optimized crystal structure of SiAg2Ge (GGA-PBE).

Cell lengths 6.6130, 6.6130, 6.6130 Å; angles 90.00, 90.00, 90.00 degrees
Element x y z (fractional)
1 Si 0.0000 0.0000 0.0000
2 Si 0.0000 0.5000 0.5000
3 Si 0.5000 0.0000 0.5000
4 Si 0.5000 0.5000 0.0000
5 Ag 0.2500 0.2500 0.2500
6 Ag 0.2500 0.2500 0.7500
7 Ag 0.2500 0.7500 0.2500
8 Ag 0.2500 0.7500 0.7500
9 Ag 0.7500 0.2500 0.2500
10 Ag 0.7500 0.2500 0.7500
11 Ag 0.7500 0.7500 0.2500
12 Ag 0.7500 0.7500 0.7500
13 Ge 0.0000 0.0000 0.5000
14 Ge 0.0000 0.5000 0.0000
15 Ge 0.5000 0.0000 0.0000
16 Ge 0.5000 0.5000 0.5000

Summary:
As for the space group: Fm-3m. As for the volume: 18.1 Å³/atom.

Which of them is the least stable? Correct choice: <1>.

<1>
Entry from Alexandria via LeMat-Bulk: an optimized crystal structure of TaAgGe2 (GGA-PBE).

Cell lengths 7.1073, 7.1073, 5.9420 Å; angles 90.00, 90.00, 90.00 degrees
Element x y z (fractional)
1 Ta 0.0000 0.0000 0.0000
2 Ta 0.0000 0.5000 0.2500
3 Ta 0.5000 0.0000 0.7500
4 Ta 0.5000 0.5000 0.5000
5 Ag 0.0000 0.0000 0.5000
6 Ag 0.0000 0.5000 0.7500
7 Ag 0.5000 0.0000 0.2500
8 Ag 0.5000 0.5000 0.0000
9 Ge 0.2445 0.2500 0.6250
10 Ge 0.2500 0.7445 0.8750
11 Ge 0.2500 0.7555 0.3750
12 Ge 0.2555 0.2500 0.1250
13 Ge 0.7445 0.7500 0.1250
14 Ge 0.7500 0.2445 0.3750
15 Ge 0.7500 0.2555 0.8750
16 Ge 0.7555 0.7500 0.6250

Summary:
As for the space group: I-42d. As for the volume: 18.8 Å³/atom.

<2>
Entry from Alexandria via LeMat-Bulk: an optimized crystal structure of TaAgGe2 (GGA-PBE).

Cell lengths 6.5411, 6.5411, 6.5411 Å; angles 90.00, 90.00, 90.00 degrees
Element x y z (fractional)
1 Ta 0.0000 0.0000 0.0000
2 Ta 0.0000 0.5000 0.5000
3 Ta 0.5000 0.0000 0.5000
4 Ta 0.5000 0.5000 0.0000
5 Ag 0.0000 0.0000 0.5000
6 Ag 0.0000 0.5000 0.0000
7 Ag 0.5000 0.0000 0.0000
8 Ag 0.5000 0.5000 0.5000
9 Ge 0.2500 0.2500 0.2500
10 Ge 0.2500 0.2500 0.7500
11 Ge 0.2500 0.7500 0.2500
12 Ge 0.2500 0.7500 0.7500
13 Ge 0.7500 0.2500 0.2500
14 Ge 0.7500 0.2500 0.7500
15 Ge 0.7500 0.7500 0.2500
16 Ge 0.7500 0.7500 0.7500

Summary:
As for the space group: Fm-3m. As for the volume: 17.5 Å³/atom.

Which of them is the least stable? Correct choice: <1>.

<1>
Entry from Alexandria via LeMat-Bulk: an optimized crystal structure of Ta3AgGe (GGA-PBE).

Cell lengths 4.7350, 4.7350, 4.7350 Å; angles 90.00, 90.00, 90.00 degrees
Element x y z (fractional)
1 Ta 0.0000 0.0000 0.5000
2 Ta 0.0000 0.5000 0.0000
3 Ta 0.5000 0.0000 0.0000
4 Ag 0.5000 0.5000 0.5000
5 Ge 0.0000 0.0000 0.0000

Summary:
As for the space group: Pm-3m. As for the volume: 21.2 Å³/atom.

<2>
Entry from Alexandria via LeMat-Bulk: an optimized crystal structure of Ta3AgGe (GGA-PBE).

Cell lengths 4.8837, 4.8837, 4.8837 Å; angles 90.00, 90.00, 90.00 degrees
Element x y z (fractional)
1 Ta 0.0000 0.0000 0.5000
2 Ta 0.0000 0.5000 0.0000
3 Ta 0.5000 0.0000 0.0000
4 Ag 0.0000 0.0000 0.0000
5 Ge 0.5000 0.5000 0.5000

Summary:
As for the space group: Pm-3m. As for the volume: 23.3 Å³/atom.

Which of them is the least stable? Correct choice: <2>.

<1>
Entry from Alexandria via LeMat-Bulk: an optimized crystal structure of TaAgGe3 (GGA-PBE).

Cell lengths 4.8549, 4.8549, 4.8549 Å; angles 90.00, 90.00, 90.00 degrees
Element x y z (fractional)
1 Ta 0.0000 0.0000 0.0000
2 Ag 0.5000 0.5000 0.5000
3 Ge 0.0000 0.5000 0.5000
4 Ge 0.5000 0.0000 0.5000
5 Ge 0.5000 0.5000 0.0000

Summary:
As for the space group: Pm-3m. As for the volume: 22.9 Å³/atom.

<2>
Entry from Alexandria via LeMat-Bulk: an optimized crystal structure of TaAgGe3 (GGA-PBE).

Cell lengths 5.0255, 5.0255, 5.0255 Å; angles 90.00, 90.00, 90.00 degrees
Element x y z (fractional)
1 Ta 0.0000 0.0000 0.0000
2 Ag 0.5000 0.5000 0.5000
3 Ge 0.0000 0.0000 0.5000
4 Ge 0.0000 0.5000 0.0000
5 Ge 0.5000 0.0000 0.0000

Summary:
As for the space group: Pm-3m. As for the volume: 25.4 Å³/atom.

Which of them is the least stable? Correct choice: <1>.